Below is a crystal of Ti2Ge2Pd relaxed with PBEsol, with properties calculated at the SCAN level.

Computed properties:
E_form = -0.710 eV/atom

Lattice parameters (Å, degrees): 3.753 6.403 6.403 90.00 90.00 90.00
Positions (direct):
Ti1 0.500 0.169 0.669
Ge1 0.000 0.365 0.865
Pd1 0.000 0.000 0.000
Ge2 0.000 0.865 0.635
Pd2 0.000 0.500 0.500
Ti2 0.500 0.831 0.331
Ge3 0.000 0.135 0.365
Ti3 0.500 0.331 0.169
Ge4 0.000 0.635 0.135
Ti4 0.500 0.669 0.831

=====

Below is a crystal of BaRu3 relaxed with PBEsol, with properties calculated at the SCAN level.

Computed properties:
E_form = 1.144 eV/atom

Lattice parameters (Å, degrees): 2.887 2.887 9.945 81.65 81.65 60.00
Positions (direct):
Ru1 0.765 0.765 0.705
Ru2 0.500 0.500 0.500
Ru3 0.235 0.235 0.295
Ba1 0.000 0.000 0.000

=====

Below is a crystal of CrReAu2 relaxed with PBEsol, with properties calculated at the SCAN level.

Computed properties:
E_form = 0.269 eV/atom
energy relative to the lowest polymorph listed for this composition = 0.049 eV/atom

Lattice parameters (Å, degrees): 2.795 3.742 5.787 90.00 92.82 90.00
Positions (direct):
Au1 0.988 0.000 0.992
Cr1 0.069 0.000 0.526
Au2 0.512 0.500 0.261
Re1 0.431 0.500 0.721

=====

Below is a crystal of BaZrCr2 relaxed with PBEsol, with properties calculated at the SCAN level.

Computed properties:
E_form = 0.864 eV/atom
energy relative to the lowest polymorph listed for this composition = 0.139 eV/atom

Lattice parameters (Å, degrees): 4.305 4.305 5.659 112.36 112.36 90.00
Positions (direct):
Zr1 0.500 0.500 0.000
Ba1 0.250 0.750 0.500
Cr1 0.000 0.000 0.000
Cr2 0.750 0.250 0.500

=====

Below is a crystal of ZnCdPb2 relaxed with PBEsol, with properties calculated at the SCAN level.

Computed properties:
E_form = 0.211 eV/atom
energy relative to the lowest polymorph listed for this composition = 0.092 eV/atom

Lattice parameters (Å, degrees): 5.199 5.199 5.199 60.00 60.00 60.00
Positions (direct):
Zn1 0.250 0.250 0.250
Pb1 0.750 0.750 0.750
Pb2 0.000 0.000 0.000
Cd1 0.500 0.500 0.500

=====

Below is a crystal of HfScBe2B relaxed with PBEsol, with properties calculated at the SCAN level.

Computed properties:
E_form = 0.318 eV/atom

Lattice parameters (Å, degrees): 3.900 3.900 4.403 90.00 90.00 90.00
Positions (direct):
Sc1 0.000 0.000 0.500
B1 0.000 0.000 0.000
Be1 0.000 0.500 0.000
Be2 0.500 0.000 0.000
Hf1 0.500 0.500 0.500

=====

Below is a crystal of SiW2 relaxed with PBEsol, with properties calculated at the SCAN level.

Computed properties:
formation energy (no corrections) = 0.5978 eV/atom
energy relative to the lowest polymorph listed for this composition = 0.655 eV/atom

Lattice parameters (Å, degrees): 2.895 2.895 11.100 97.49 97.49 90.00
Positions (direct):
Si1 0.000 0.000 0.000
W1 0.425 0.425 0.850
W2 0.675 0.175 0.350
W3 0.825 0.325 0.650
Si2 0.250 0.750 0.500
W4 0.575 0.575 0.150

=====

Below is a crystal of Cs5Re6S8Cl7 relaxed with PBEsol, with properties calculated at the SCAN level.

Computed properties:
formation energy (no corrections) = -1.2898 eV/atom

Lattice parameters (Å, degrees): 9.736 9.736 18.594 74.82 74.82 60.00
Positions (direct):
S1 0.322 0.974 0.945
Cl1 0.728 0.728 0.815
S2 0.474 0.822 0.445
Cl2 0.228 0.228 0.315
Re1 0.044 0.160 0.940
Re2 0.839 0.145 0.060
Cl3 0.112 0.363 0.860
S3 0.677 0.025 0.056
Re3 0.645 0.339 0.560
S4 0.974 0.758 0.945
Cs1 0.061 0.749 0.752
S5 0.555 0.555 0.334
Cl4 0.897 0.628 0.139
Cl5 0.835 0.128 0.639
Re4 0.456 0.645 0.560
Re5 0.339 0.456 0.560
Cs2 0.840 0.840 0.479
Re6 0.660 0.544 0.440
Re7 0.956 0.839 0.060
Cs3 0.164 0.164 0.507
S6 0.822 0.258 0.445
S7 0.177 0.742 0.556
S8 0.242 0.677 0.056
Re8 0.145 0.956 0.060
Cs4 0.561 0.938 0.252
Cs5 0.664 0.664 0.007
Re9 0.855 0.044 0.940
Cl6 0.628 0.335 0.139
Cl7 0.128 0.397 0.639
Cs6 0.749 0.438 0.752
Cl8 0.612 0.164 0.360
Cl9 0.863 0.612 0.360
Cs7 0.438 0.061 0.752
S9 0.444 0.444 0.667
Cl10 0.397 0.835 0.639
Cs8 0.938 0.249 0.252
S10 0.025 0.242 0.056
Cs9 0.340 0.340 0.979
Re10 0.160 0.855 0.940
Re11 0.544 0.355 0.440
Cl11 0.363 0.664 0.860
S11 0.258 0.474 0.445
Cl12 0.335 0.897 0.139
Re12 0.355 0.660 0.440
S12 0.742 0.525 0.556
Cl13 0.664 0.112 0.860
S13 0.758 0.322 0.945
S14 0.944 0.944 0.167
S15 0.525 0.177 0.556
Cl14 0.164 0.863 0.360
Cs10 0.249 0.561 0.252
S16 0.055 0.055 0.834

=====

Below is a crystal of ZnGaB2 relaxed with PBEsol, with properties calculated at the SCAN level.

Computed properties:
E_form = 1.118 eV/atom
energy relative to the lowest polymorph listed for this composition = 0.000 eV/atom

Lattice parameters (Å, degrees): 5.264 5.264 5.264 93.88 117.79 117.79
Positions (direct):
B1 0.999 0.624 0.125
B2 0.501 0.375 0.376
Ga1 0.500 0.750 0.250
Zn1 0.500 0.250 0.750
B3 0.001 0.126 0.625
Zn2 0.000 0.500 0.500
Ga2 0.000 0.000 0.000
B4 0.499 0.875 0.874

=====

Below is a crystal of LiScB2 relaxed with PBEsol, with properties calculated at the SCAN level.

Computed properties:
E_form = 0.211 eV/atom

Lattice parameters (Å, degrees): 3.502 3.502 7.523 103.46 103.46 90.00
Positions (direct):
Li1 0.750 0.250 0.500
B1 0.625 0.875 0.250
Li2 0.500 0.500 0.000
Sc1 0.250 0.750 0.500
B2 0.625 0.375 0.250
Sc2 0.000 0.000 0.000
B3 0.125 0.375 0.750
B4 0.625 0.375 0.750

=====

Below is a crystal of ReRhI2 relaxed with PBEsol, with properties calculated at the SCAN level.

Computed properties:
formation energy (no corrections) = 1.3699 eV/atom

Lattice parameters (Å, degrees): 4.725 4.725 4.725 60.00 60.00 60.00
Positions (direct):
Rh1 0.000 0.000 0.000
I1 0.250 0.250 0.250
I2 0.750 0.750 0.750
Re1 0.500 0.500 0.500

=====

Below is a crystal of ZrTlZn2 relaxed with PBEsol, with properties calculated at the SCAN level.

Computed properties:
E_form = -0.117 eV/atom
energy relative to the lowest polymorph listed for this composition = 0.129 eV/atom

Lattice parameters (Å, degrees): 3.067 4.392 5.606 90.00 90.00 90.00
Positions (direct):
Zr1 0.500 0.500 0.000
Tl1 0.000 0.500 0.500
Zn1 0.000 0.000 0.781
Zn2 0.000 0.000 0.219

=====

Below is a crystal of La2YMo2 relaxed with PBEsol, with properties calculated at the SCAN level.

Computed properties:
E_form = 0.627 eV/atom

Lattice parameters (Å, degrees): 4.562 4.562 6.919 109.25 109.25 90.00
Positions (direct):
La1 0.250 0.750 0.500
La2 0.750 0.250 0.500
Y1 0.000 0.000 0.000
Mo1 0.409 0.409 0.818
Mo2 0.591 0.591 0.182

=====

Below is a crystal of Pr4S3NCl3 relaxed with PBEsol, with properties calculated at the SCAN level.

Computed properties:
formation energy (no corrections) = -2.3965 eV/atom

Lattice parameters (Å, degrees): 6.838 9.271 9.271 120.00 90.00 90.00
Positions (direct):
S1 0.969 0.061 0.530
Pr1 0.748 0.799 0.201
Pr2 0.748 0.799 0.598
Cl1 0.641 0.132 0.265
S2 0.469 0.939 0.470
Pr3 0.248 0.598 0.799
Cl2 0.141 0.265 0.132
S3 0.969 0.470 0.530
S4 0.469 0.530 0.061
Pr4 0.248 0.201 0.402
Pr5 0.748 0.402 0.201
N1 0.366 0.333 0.667
Pr6 0.248 0.201 0.799
N2 0.866 0.667 0.333
Cl3 0.641 0.132 0.868
S5 0.969 0.470 0.939
Pr7 0.711 0.333 0.667
S6 0.469 0.530 0.470
Cl4 0.141 0.868 0.132
Cl5 0.641 0.735 0.868
Pr8 0.211 0.667 0.333
Cl6 0.141 0.868 0.735

=====

Below is a crystal of Pd2PbBr relaxed with PBEsol, with properties calculated at the SCAN level.

Computed properties:
formation energy (no corrections) = -0.0135 eV/atom

Lattice parameters (Å, degrees): 4.748 4.748 4.748 60.00 60.00 60.00
Positions (direct):
Pb1 0.500 0.500 0.500
Pd1 0.250 0.250 0.250
Br1 0.000 0.000 0.000
Pd2 0.750 0.750 0.750

=====

Below is a crystal of BaLa3In relaxed with PBEsol, with properties calculated at the SCAN level.

Computed properties:
E_form = 0.661 eV/atom
energy relative to the lowest polymorph listed for this composition = 0.589 eV/atom

Lattice parameters (Å, degrees): 5.777 5.777 5.777 90.00 90.00 90.00
Positions (direct):
La1 0.000 0.000 0.500
La2 0.500 0.000 0.000
La3 0.000 0.500 0.000
In1 0.500 0.500 0.500
Ba1 0.000 0.000 0.000

=====

Below is a crystal of Zr2Fe3Si relaxed with PBEsol, with properties calculated at the SCAN level.

Computed properties:
formation energy (no corrections) = -0.5198 eV/atom

Lattice parameters (Å, degrees): 4.919 4.919 7.905 90.00 90.00 120.00
Positions (direct):
Fe1 0.170 0.340 0.750
Fe2 0.340 0.170 0.250
Zr1 0.333 0.667 0.064
Zr2 0.667 0.333 0.936
Fe3 0.830 0.660 0.250
Zr3 0.333 0.667 0.436
Si1 0.000 0.000 0.500
Si2 0.000 0.000 0.000
Fe4 0.830 0.170 0.250
Zr4 0.667 0.333 0.564
Fe5 0.660 0.830 0.750
Fe6 0.170 0.830 0.750

=====

Below is a crystal of LiMgCu2 relaxed with PBEsol, with properties calculated at the SCAN level.

Computed properties:
E_form = -0.017 eV/atom

Lattice parameters (Å, degrees): 2.775 4.561 4.561 108.02 90.00 90.00
Positions (direct):
Cu1 0.000 0.000 0.500
Cu2 0.000 0.500 0.000
Li1 0.500 0.500 0.500
Mg1 0.500 0.000 0.000

=====

Below is a crystal of GaTe2HI relaxed with PBEsol, with properties calculated at the SCAN level.

Computed properties:
DFT total energy = -129.7 eV for the cell shown

Lattice parameters (Å, degrees): 4.369 4.369 6.955 90.00 90.00 90.00
Positions (direct):
Te1 0.500 0.000 0.000
Te2 0.000 0.500 0.000
H1 0.000 0.000 0.000
I1 0.000 0.000 0.500
Ga1 0.500 0.500 0.500

=====

Below is a crystal of InOsCl2 relaxed with PBEsol, with properties calculated at the SCAN level.

Computed properties:
formation energy (no corrections) = 0.6028 eV/atom
energy relative to the lowest polymorph listed for this composition = 0.613 eV/atom

Lattice parameters (Å, degrees): 2.953 4.430 5.329 90.00 90.00 90.00
Positions (direct):
Cl1 0.000 0.000 0.000
Cl2 0.500 0.000 0.500
Os1 0.000 0.500 0.500
In1 0.500 0.500 0.000

=====

Below is a crystal of Mn2P3O10 relaxed with PBEsol, with properties calculated at the SCAN level.

Computed properties:
formation energy (no corrections) = -2.3382 eV/atom

Lattice parameters (Å, degrees): 8.446 8.446 9.544 79.46 130.82 117.90
Positions (direct):
Mn1 0.759 0.233 0.978
O1 0.804 0.486 0.972
O2 0.695 0.738 0.868
Mn2 0.245 0.219 0.478
O3 0.537 0.531 0.376
O4 0.630 0.173 0.368
O5 0.893 0.686 0.776
Mn3 0.755 0.781 0.522
O6 0.986 0.168 0.472
O7 0.792 0.066 0.889
O8 0.305 0.262 0.132
O9 0.370 0.827 0.632
O10 0.591 0.883 0.276
O11 0.107 0.314 0.224
P1 0.275 0.901 0.694
P2 0.708 0.581 0.806
O12 0.677 0.903 0.611
O13 0.323 0.097 0.389
O14 0.014 0.832 0.528
O15 0.655 0.161 0.124
P3 0.725 0.099 0.306
P4 0.645 0.895 0.750
O16 0.345 0.839 0.876
P5 0.355 0.105 0.250
O17 0.463 0.469 0.624
O18 0.208 0.934 0.111
O19 0.196 0.514 0.028
Mn4 0.241 0.767 0.022
P6 0.292 0.419 0.194
O20 0.409 0.117 0.724

=====

Below is a crystal of Mg2TlRe2 relaxed with PBEsol, with properties calculated at the SCAN level.

Computed properties:
E_form = 1.162 eV/atom

Lattice parameters (Å, degrees): 3.859 3.859 7.044 105.90 105.90 90.00
Positions (direct):
Mg1 0.250 0.750 0.500
Tl1 0.000 0.000 0.000
Re1 0.590 0.590 0.179
Re2 0.410 0.410 0.821
Mg2 0.750 0.250 0.500

=====

Below is a crystal of Ta2Fe relaxed with PBEsol, with properties calculated at the SCAN level.

Computed properties:
E_form = -0.041 eV/atom

Lattice parameters (Å, degrees): 3.112 4.447 6.751 90.00 103.33 90.00
Positions (direct):
Ta1 0.257 0.750 0.514
Ta2 0.576 0.750 0.152
Ta3 0.424 0.250 0.848
Fe1 0.917 0.750 0.835
Ta4 0.743 0.250 0.486
Fe2 0.083 0.250 0.165